{"formula": "K2TcIrO6", "functional": "GGA-PBE", "state": "relaxed", "e_tot_ev_per_atom": -6.361, "e_form_raw_ev_per_atom": -1.24, "sg": "P4/mmm (123)", "m_tot_mub_per_fu": 0.00, "lattice_angstrom": [[3.9779, 0.0000, 0.0000], [0.0000, 5.5562, 0.0000], [0.0000, 0.0000, 5.5562]], "species": ["K", "K", "Tc", "Ir", "O", "O", "O", "O", "O", "O"], "frac_coords": [[0.1446, 0.5000, 0.0000], [0.1446, 0.0000, 0.5000], [0.6444, 0.0000, 0.0000], [0.6447, 0.5000, 0.5000], [0.6447, 0.2452, 0.2452], [0.6447, 0.2452, 0.7548], [0.1447, 0.5000, 0.5000], [0.1448, 0.0000, 0.0000], [0.6447, 0.7548, 0.7548], [0.6447, 0.7548, 0.2452]]}

***

{"formula": "InNi2W", "functional": "GGA-PBE", "state": "relaxed", "e_tot_ev_per_atom": -6.440, "sg": "I-4m2 (119)", "m_tot_mub_per_fu": 0.27, "ef_mev_per_atom": 374, "lattice_angstrom": [[-0.7588, 4.3781, -1.7933], [-4.6071, 1.2424, 0.4363], [3.2075, -1.7209, 3.1160]], "species": ["In", "Ni", "Ni", "W"], "frac_coords": [[0.7500, 0.2500, 0.5000], [0.0000, 0.0000, 0.0000], [0.2500, 0.7500, 0.5000], [0.5000, 0.5000, 0.0000]]}

***

{"formula": "LaMnRe3", "functional": "GGA-PBE", "state": "relaxed", "e_tot_ev_per_atom": -9.340, "sg": "Pm-3m (221)", "m_tot_mub_per_fu": 0.00, "ef_mev_per_atom": 949, "e_above_lowest_polymorph_ev_per_atom": 0.000, "lattice_angstrom": [[-1.3030, 4.3280, 0.7477], [-1.3640, -1.1401, 4.2224], [4.1750, 0.9783, 1.6128]], "species": ["Re", "Re", "Re", "Mn", "La"], "frac_coords": [[0.0000, 0.5000, 0.0000], [0.0000, 0.0000, 0.5000], [0.5000, 0.0000, 0.0000], [0.0000, 0.0000, 0.0000], [0.5000, 0.5000, 0.5000]]}

***

{"formula": "Tb2Nd4Ho", "functional": "GGA-PBE", "state": "relaxed", "e_tot_ev_per_atom": -4.578, "sg": "P2_1/m (11)", "m_tot_mub_per_fu": 0.00, "ef_mev_per_atom": 123, "e_above_lowest_polymorph_ev_per_atom": 0.081, "lattice_angstrom": [[6.2280, 0.0000, -0.2792], [0.0000, 6.6824, 0.0000], [-2.3888, 0.0000, 11.4432]], "species": ["Tb", "Tb", "Tb", "Tb", "Nd", "Nd", "Nd", "Nd", "Nd", "Nd", "Nd", "Nd", "Ho", "Ho"], "frac_coords": [[0.6067, 0.7500, 0.9944], [0.3933, 0.2500, 0.0056], [0.2873, 0.2500, 0.4234], [0.7127, 0.7500, 0.5766], [0.6466, 0.5103, 0.2849], [0.0385, 0.7500, 0.8639], [0.9615, 0.2500, 0.1361], [0.6466, 0.9897, 0.2849], [0.8485, 0.2500, 0.5499], [0.3534, 0.0103, 0.7151], [0.3534, 0.4897, 0.7151], [0.1515, 0.7500, 0.4501], [0.1476, 0.7500, 0.1624], [0.8524, 0.2500, 0.8376]]}

***

{"formula": "AlVCr", "functional": "GGA-PBE", "state": "relaxed", "e_tot_ev_per_atom": -7.686, "sg": "I4mm (107)", "m_tot_mub_per_fu": 0.11, "ef_mev_per_atom": -191, "e_above_lowest_polymorph_ev_per_atom": 0.000, "lattice_angstrom": [[3.0553, 0.0000, 0.0000], [0.0000, 3.0553, 0.0000], [-1.5277, -1.5277, 4.3180]], "species": ["Cr", "Al", "V"], "frac_coords": [[0.6847, 0.6847, 0.3694], [0.0027, 0.0027, 0.0055], [0.3126, 0.3126, 0.6252]]}

***

{"formula": "Sc2In2Ag", "functional": "GGA-PBE", "state": "relaxed", "e_tot_ev_per_atom": -4.435, "sg": "C2/m (12)", "m_tot_mub_per_fu": 0.00, "ef_mev_per_atom": -237, "e_above_lowest_polymorph_ev_per_atom": 0.041, "lattice_angstrom": [[-1.4281, 3.4908, 3.0445], [-2.6803, -3.9591, -0.5800], [-1.8234, -5.4217, 5.3476]], "species": ["Sc", "Sc", "In", "In", "Ag"], "frac_coords": [[0.7936, 0.0878, 0.8090], [0.2064, 0.9122, 0.1910], [0.4005, 0.3004, 0.3994], [0.5995, 0.6996, 0.6006], [0.0000, 0.5000, 0.0000]]}

***

{"formula": "Sm3YCd", "functional": "GGA-PBE", "state": "relaxed", "e_tot_ev_per_atom": -4.422, "sg": "C2/m (12)", "m_tot_mub_per_fu": 0.00, "ef_mev_per_atom": -115, "e_above_lowest_polymorph_ev_per_atom": 0.000, "lattice_angstrom": [[3.7182, 0.0003, 0.0002], [1.8588, 6.5429, 0.5429], [-0.0005, -0.1015, 12.8104]], "species": ["Sm", "Sm", "Sm", "Sm", "Sm", "Sm", "Y", "Y", "Cd", "Cd"], "frac_coords": [[0.1460, 0.7084, 0.4460], [0.3649, 0.2696, 0.0229], [0.0374, 0.9246, 0.1902], [0.8540, 0.2916, 0.5540], [0.9626, 0.0754, 0.8098], [0.6351, 0.7304, 0.9771], [0.2285, 0.5435, 0.7515], [0.7715, 0.4565, 0.2485], [0.5601, 0.8803, 0.6282], [0.4399, 0.1197, 0.3718]]}